[1]
{
  "formula": "BTeBr2",
  "functional": "GGA-PBE",
  "state": "relaxed",
  "lattice": [[1.7608, 1.0166, 10.0982], [-1.7608, 1.0166, 10.0982], [0.0000, -2.0332, 10.0982]],
  "species": ["B", "Te", "Br", "Br"],
  "frac_coords": [[0.0000, 0.0000, 0.0000], [0.5000, 0.5000, 0.5000], [0.0599, 0.0599, 0.0599], [0.9401, 0.9401, 0.9401]],
  "total_magnetization_mub_per_fu": 0.000,
  "polymorph_energy_ev_per_atom": 0.0000,
  "space_group": "No. 166",
  "total_energy_ev_per_fu": -11.177,
  "e_form_raw_ev_per_atom": 0.4971
}

---

[2]
{
  "formula": "Th6BBr15",
  "functional": "GGA-PBE",
  "state": "relaxed",
  "lattice": [[-5.7958, 5.7958, 5.7958], [5.7958, -5.7958, 5.7958], [5.7958, 5.7958, -5.7958]],
  "species": ["Th", "Th", "Th", "Th", "Th", "Th", "B", "Br", "Br", "Br", "Br", "Br", "Br", "Br", "Br", "Br", "Br", "Br", "Br", "Br", "Br", "Br"],
  "frac_coords": [[0.0000, 0.2352, 0.2352], [0.0000, 0.7648, 0.7648], [0.2352, 0.0000, 0.2352], [0.2352, 0.2352, 0.0000], [0.7648, 0.0000, 0.7648], [0.7648, 0.7648, 0.0000], [0.0000, 0.0000, 0.0000], [0.0000, 0.2515, 0.7485], [0.0000, 0.5000, 0.5000], [0.0000, 0.7485, 0.2515], [0.2515, 0.0000, 0.7485], [0.2515, 0.2515, 0.5030], [0.2515, 0.5030, 0.2515], [0.2515, 0.7485, 0.0000], [0.4970, 0.7485, 0.7485], [0.5000, 0.0000, 0.5000], [0.5000, 0.5000, 0.0000], [0.5030, 0.2515, 0.2515], [0.7485, 0.0000, 0.2515], [0.7485, 0.2515, 0.0000], [0.7485, 0.4970, 0.7485], [0.7485, 0.7485, 0.4970]],
  "total_magnetization_mub_per_fu": 2.121,
  "space_group": "No. 229",
  "total_energy_ev_per_fu": -110.040,
  "e_form_raw_ev_per_atom": -1.5341
}

---

[3]
{
  "formula": "Th3BBr3",
  "functional": "GGA-PBE",
  "state": "relaxed",
  "lattice": [[8.9716, 0.0000, 0.0000], [0.0000, 3.8662, 0.0000], [-0.4480, 0.0000, 11.4825]],
  "species": ["Th", "Th", "Th", "Th", "Th", "Th", "B", "B", "Br", "Br", "Br", "Br", "Br", "Br"],
  "frac_coords": [[0.0925, 0.2500, 0.1363], [0.0988, 0.2500, 0.6096], [0.2986, 0.7500, 0.3677], [0.7014, 0.2500, 0.6323], [0.9012, 0.7500, 0.3904], [0.9075, 0.7500, 0.8637], [0.1057, 0.2500, 0.3737], [0.8943, 0.7500, 0.6263], [0.1749, 0.2500, 0.8729], [0.3560, 0.7500, 0.1149], [0.3970, 0.7500, 0.6290], [0.6030, 0.2500, 0.3710], [0.6440, 0.2500, 0.8851], [0.8251, 0.7500, 0.1271]],
  "total_magnetization_mub_per_fu": 0.001,
  "space_group": "No. 11",
  "total_energy_ev_per_fu": -41.182,
  "e_form_raw_ev_per_atom": -1.0324
}

---

[4]
{
  "formula": "Th2BBr2",
  "functional": "GGA-PBE",
  "state": "relaxed",
  "lattice": [[3.4752, -2.0062, 0.0000], [3.4752, 2.0062, 0.0000], [-2.5724, 0.0000, 11.3256]],
  "species": ["Th", "Th", "B", "Br", "Br"],
  "frac_coords": [[0.2142, 0.2142, 0.1284], [0.7858, 0.7858, 0.8716], [0.5000, 0.5000, 0.0000], [0.0521, 0.0521, 0.6906], [0.9479, 0.9479, 0.3094]],
  "total_magnetization_mub_per_fu": 0.000,
  "space_group": "No. 12",
  "total_energy_ev_per_fu": -30.226,
  "e_form_raw_ev_per_atom": -1.0726
}